Entry 1:
Entry from the Alexandria database: a crystal of LaMoC2 relaxed with PBEsol (SCAN).

Cell: 6.2746 6.2746 6.2746 Å, 131.31 131.31 71.32°
Sites, in units of the cell vectors:
La 0.0000 0.0000 0.0000
La 0.7500 0.2500 0.5000
Mo 0.2500 0.7500 0.5000
Mo 0.5000 0.5000 0.0000
C 0.2241 0.6250 0.0991
C 0.3750 0.4741 0.5991
C 0.5259 0.1250 0.9009
C 0.8750 0.7759 0.4009

Properties
Magnetic moment (μB/cell): 0.00
DOS(E_F) (states/eV per atom): 0.543
Mass density (kg/m³): 6302
Energy relative to the lowest polymorph listed for this composition (meV per atom): 0
Symmetry: No. 122

Entry 2:
Entry from the Alexandria database: a crystal of LaMo3C relaxed with PBEsol (SCAN).

Cell: 4.3121 4.3121 4.3121 Å, 90.00 90.00 90.00°
Sites, in units of the cell vectors:
La 0.0000 0.0000 0.0000
Mo 0.0000 0.5000 0.5000
Mo 0.5000 0.0000 0.5000
Mo 0.5000 0.5000 0.0000
C 0.5000 0.5000 0.5000

Properties
Magnetic moment (μB/cell): 0.00
DOS(E_F) (states/eV per atom): 1.291
Mass density (kg/m³): 9086
Symmetry: No. 221
VASP energy (eV per atom): -31.0137

Entry 3:
Entry from the Alexandria database: a crystal of LaMoC2 relaxed with PBEsol (SCAN).

Cell: 4.1872 4.1872 4.1872 Å, 60.00 60.00 60.00°
Sites, in units of the cell vectors:
La 0.0000 0.0000 0.0000
Mo 0.5000 0.5000 0.5000
C 0.2500 0.2500 0.2500
C 0.7500 0.7500 0.7500

Properties
Magnetic moment (μB/cell): 1.65
DOS(E_F) (states/eV per atom): 0.406
Mass density (kg/m³): 8281
Energy relative to the lowest polymorph listed for this composition (meV per atom): 953
Symmetry: No. 225

Entry 4:
Entry from the Alexandria database: a crystal of LaC6N9 relaxed with PBEsol (SCAN).

Cell: 7.0492 7.0492 10.2996 Å, 90.00 90.00 111.24°
Sites, in units of the cell vectors:
La 0.2166 0.7834 0.7500
La 0.7834 0.2166 0.2500
C 0.0597 0.2242 0.7500
C 0.2105 0.5039 0.0497
C 0.2105 0.5039 0.4503
C 0.2242 0.0597 0.2500
C 0.4961 0.7895 0.0497
C 0.4961 0.7895 0.4503
C 0.5039 0.2105 0.5497
C 0.5039 0.2105 0.9503
C 0.7758 0.9403 0.7500
C 0.7895 0.4961 0.5497
C 0.7895 0.4961 0.9503
C 0.9403 0.7758 0.2500
N 0.0272 0.9728 0.2500
N 0.0846 0.3613 0.0965
N 0.0846 0.3613 0.4035
N 0.1465 0.4017 0.7500
N 0.3406 0.6594 0.5096
N 0.3406 0.6594 0.9904
N 0.3613 0.0846 0.5965
N 0.3613 0.0846 0.9035
N 0.4017 0.1465 0.2500
N 0.5983 0.8535 0.7500
N 0.6387 0.9154 0.0965
N 0.6387 0.9154 0.4035
N 0.6594 0.3406 0.0096
N 0.6594 0.3406 0.4904
N 0.8535 0.5983 0.2500
N 0.9154 0.6387 0.5965
N 0.9154 0.6387 0.9035
N 0.9728 0.0272 0.7500

Properties
Magnetic moment (μB/cell): 0.00
DOS(E_F) (states/eV per atom): 0.000
Formation energy (no corrections) (meV per atom): -72
Mass density (kg/m³): 2346
Symmetry: No. 63

Entry 5:
Entry from the Alexandria database: a crystal of La2C2N4O relaxed with PBEsol (SCAN).

Cell: 7.3686 7.3686 6.0518 Å, 102.96 102.96 49.69°
Sites, in units of the cell vectors:
La 0.1146 0.6843 0.9252
La 0.3157 0.8854 0.5748
La 0.6843 0.1146 0.4252
La 0.8854 0.3157 0.0748
C 0.1196 0.5750 0.3880
C 0.4250 0.8804 0.1120
C 0.5750 0.1196 0.8880
C 0.8804 0.4250 0.6120
N 0.0535 0.3652 0.7554
N 0.2905 0.5267 0.5314
N 0.3652 0.0535 0.2554
N 0.4733 0.7095 0.9686
N 0.5267 0.2905 0.0314
N 0.6348 0.9465 0.7446
N 0.7095 0.4733 0.4686
N 0.9465 0.6348 0.2446
O 0.0268 0.9732 0.2500
O 0.9732 0.0268 0.7500

Properties
Magnetic moment (μB/cell): 0.00
DOS(E_F) (states/eV per atom): 0.000
Formation energy (no corrections) (meV per atom): -1511
Mass density (kg/m³): 5114
Symmetry: No. 15

Entry 6:
Entry from the Alexandria database: a crystal of La2SiCN2O4 relaxed with PBEsol (SCAN).

Cell: 6.4765 12.7169 6.6092 Å, 90.00 105.62 90.00°
Sites, in units of the cell vectors:
La 0.0272 0.1450 0.3276
La 0.0272 0.3550 0.8276
La 0.4134 0.5990 0.7214
La 0.4134 0.9010 0.2214
La 0.5866 0.0990 0.7786
La 0.5866 0.4010 0.2786
La 0.9728 0.6450 0.1724
La 0.9728 0.8550 0.6724
Si 0.0913 0.0996 0.8096
Si 0.0913 0.4004 0.3096
Si 0.9087 0.5996 0.6904
Si 0.9087 0.9004 0.1904
C 0.4758 0.6524 0.2363
C 0.4758 0.8476 0.7363
C 0.5242 0.1524 0.2637
C 0.5242 0.3476 0.7637
N 0.3716 0.7053 0.3306
N 0.3716 0.7947 0.8306
N 0.4226 0.0976 0.3582
N 0.4226 0.4024 0.8582
N 0.5774 0.5976 0.1418
N 0.5774 0.9024 0.6418
N 0.6284 0.2053 0.1694
N 0.6284 0.2947 0.6694
O 0.0285 0.6669 0.5439
O 0.0285 0.8331 0.0439
O 0.1101 0.5518 0.8760
O 0.1101 0.9482 0.3760
O 0.2238 0.1815 0.7007
O 0.2238 0.3185 0.2007
O 0.2540 0.0052 0.9116
O 0.2540 0.4948 0.4116
O 0.7460 0.5052 0.5884
O 0.7460 0.9948 0.0884
O 0.7762 0.6815 0.7993
O 0.7762 0.8185 0.2993
O 0.8899 0.0518 0.6240
O 0.8899 0.4482 0.1240
O 0.9715 0.1669 0.9561
O 0.9715 0.3331 0.4561

Properties
Magnetic moment (μB/cell): 0.00
DOS(E_F) (states/eV per atom): 0.000
Formation energy (no corrections) (meV per atom): -2649
Mass density (kg/m³): 5194
Symmetry: No. 14